[1]
! PBE-GGA GeP2BrO, optimized geometry; values from VASP
&SYSTEM
  ibrav = 0, nat = 5, ntyp = 4
/
ATOMIC_SPECIES
Ge 72.64 Ge.upf
P 30.97 P.upf
Br 79.90 Br.upf
O 16.00 O.upf
CELL_PARAMETERS angstrom
4.9654 0.0000 0.0000
0.0000 4.9654 0.0000
0.0000 0.0000 3.8083
ATOMIC_POSITIONS angstrom
Ge 0.0000 0.0000 0.0000
P 0.0000 2.4827 1.9041
P 2.4827 0.0000 1.9041
Br 2.4827 2.4827 1.9041
O 2.4827 2.4827 0.0000
! ΔE_f (raw) (eV/atom): 1.102
! Energy above the most stable polymorph in this dataset (meV/atom): 662

[2]
! PBE-GGA LaPS2Cl, optimized geometry; values from VASP
&SYSTEM
  ibrav = 0, nat = 5, ntyp = 4
/
ATOMIC_SPECIES
La 138.91 La.upf
P 30.97 P.upf
S 32.06 S.upf
Cl 35.45 Cl.upf
CELL_PARAMETERS angstrom
5.4598 0.0000 0.0000
0.0000 5.4598 0.0000
0.0000 0.0000 6.1742
ATOMIC_POSITIONS angstrom
La 0.0000 0.0000 0.0000
P 0.0000 0.0000 3.0871
S 0.0000 2.7299 0.0000
S 2.7299 0.0000 0.0000
Cl 2.7299 2.7299 3.0871
! ΔE_f (raw) (eV/atom): 0.266
! Energy above the most stable polymorph in this dataset (meV/atom): 1085

[3]
! PBE-GGA Sc2NbNiSn, optimized geometry; values from VASP
&SYSTEM
  ibrav = 0, nat = 5, ntyp = 4
/
ATOMIC_SPECIES
Sc 44.96 Sc.upf
Nb 92.91 Nb.upf
Ni 58.69 Ni.upf
Sn 118.71 Sn.upf
CELL_PARAMETERS angstrom
5.2984 0.0000 0.0000
0.0000 5.2984 0.0000
0.0000 0.0000 4.5624
ATOMIC_POSITIONS angstrom
Sc 0.0000 2.6492 0.0000
Sc 2.6492 0.0000 0.0000
Nb 0.0000 0.0000 2.2812
Ni 2.6492 2.6492 2.2812
Sn 2.6492 2.6492 0.0000
! E_form (eV/atom): 0.93

[4]
! PBE-GGA LuMn2SiC, optimized geometry; values from VASP
&SYSTEM
  ibrav = 0, nat = 10, ntyp = 4
/
ATOMIC_SPECIES
Lu 174.97 Lu.upf
Mn 54.94 Mn.upf
Si 28.09 Si.upf
C 12.01 C.upf
CELL_PARAMETERS angstrom
1.8158 -5.2623 0.0000
1.8158 5.2623 0.0000
0.0000 0.0000 6.9429
ATOMIC_POSITIONS angstrom
Lu 1.8158 4.8221 5.2072
Lu 1.8158 -4.8221 1.7357
Mn 1.8158 1.7690 3.8942
Mn 1.8158 1.7690 6.5202
Mn 1.8158 -1.7690 0.4228
Mn 1.8158 -1.7690 3.0487
Si 1.8158 2.7658 1.7357
Si 1.8158 -2.7658 5.2072
C 1.8158 0.0000 0.0000
C 1.8158 0.0000 3.4715
! ΔE_f (raw) (eV/atom): -0.521

[5]
! PBE-GGA Tb2PrNd6Th, optimized geometry; values from VASP
&SYSTEM
  ibrav = 0, nat = 20, ntyp = 4
/
ATOMIC_SPECIES
Tb 158.93 Tb.upf
Pr 140.91 Pr.upf
Nd 144.24 Nd.upf
Th 232.04 Th.upf
CELL_PARAMETERS angstrom
4.6701 -7.5552 0.0000
4.6701 7.5552 0.0000
-1.6007 0.0000 9.8414
ATOMIC_POSITIONS angstrom
Tb 2.1491 0.6783 0.4754
Tb 1.3487 -0.6783 5.3961
Tb 6.3908 0.6783 4.4453
Tb 5.5905 -0.6783 9.3660
Pr 3.4696 1.4608 7.3811
Pr 4.2699 -1.4608 2.4604
Nd 2.4889 4.2311 1.8134
Nd 3.1252 4.8852 5.4781
Nd 3.8139 4.8852 9.2841
Nd 3.1621 1.5685 3.7289
Nd 6.0510 4.2311 3.1073
Nd 5.3778 1.5685 1.1918
Nd 2.3617 -1.5685 8.6496
Nd 1.6885 -4.2311 6.7341
Nd 4.5774 -1.5685 6.1125
Nd 3.9256 -4.8852 0.5573
Nd 4.6143 -4.8852 4.3634
Nd 5.2507 -4.2311 8.0280
Th 4.2699 7.1674 2.4604
Th 3.4696 -7.1674 7.3811
! E_form (eV/atom): 0.14

[6]
! PBE-GGA BaAlRh, optimized geometry; values from VASP
&SYSTEM
  ibrav = 0, nat = 3, ntyp = 3
/
ATOMIC_SPECIES
Ba 137.33 Ba.upf
Al 26.98 Al.upf
Rh 102.91 Rh.upf
CELL_PARAMETERS angstrom
-1.6303 1.7930 6.0326
1.6303 -1.7930 6.0326
1.6303 1.7930 -6.0326
ATOMIC_POSITIONS angstrom
Ba 0.0000 0.0000 0.0000
Al 0.0000 0.0000 3.3363
Rh 0.0000 0.0000 8.5585
! E_form (eV/atom): -0.33

[7]
! PBE-GGA Ge2PPd6, optimized geometry; values from VASP
&SYSTEM
  ibrav = 0, nat = 9, ntyp = 3
/
ATOMIC_SPECIES
Ge 72.64 Ge.upf
P 30.97 P.upf
Pd 106.42 Pd.upf
CELL_PARAMETERS angstrom
6.6483 0.0000 0.0000
-3.3242 5.7576 0.0000
0.0000 0.0000 3.5369
ATOMIC_POSITIONS angstrom
Ge 0.0000 3.8384 0.0000
Ge 3.3242 1.9192 0.0000
P 0.0000 0.0000 1.7684
Pd -1.3040 2.2586 1.7684
Pd -2.4684 4.2754 0.0000
Pd 0.8558 1.4822 0.0000
Pd 2.6080 0.0000 1.7684
Pd 2.0201 3.4990 1.7684
Pd 4.9368 0.0000 0.0000
! E_form (eV/atom): -0.52

[8]
! PBE-GGA In6Pd5Pt, optimized geometry; values from VASP
&SYSTEM
  ibrav = 0, nat = 12, ntyp = 3
/
ATOMIC_SPECIES
In 114.82 In.upf
Pd 106.42 Pd.upf
Pt 195.08 Pt.upf
CELL_PARAMETERS angstrom
4.6565 0.0000 0.0000
0.0000 6.6224 0.0000
-2.2634 0.0000 7.0103
ATOMIC_POSITIONS angstrom
In 0.0000 1.6420 0.0000
In 0.0000 4.9803 0.0000
In 0.0480 1.6642 4.6798
In 0.0480 4.9582 4.6798
In 2.3451 1.6642 2.3305
In 2.3451 4.9582 2.3305
Pd 0.0138 3.3112 2.3190
Pd 0.0167 0.0000 2.3945
Pd 2.3283 3.3112 0.0000
Pd 2.3765 0.0000 4.6158
Pd 2.3793 3.3112 4.6913
Pt 2.3283 0.0000 0.0000
! E_form (eV/atom): -0.48

[9]
! PBE-GGA In2SiWN, optimized geometry; values from VASP
&SYSTEM
  ibrav = 0, nat = 5, ntyp = 4
/
ATOMIC_SPECIES
In 114.82 In.upf
Si 28.09 Si.upf
W 183.84 W.upf
N 14.01 N.upf
CELL_PARAMETERS angstrom
5.3715 0.0000 0.0000
0.0000 5.3715 0.0000
0.0000 0.0000 4.7214
ATOMIC_POSITIONS angstrom
In 0.0000 2.6858 0.0000
In 2.6858 0.0000 0.0000
Si 0.0000 0.0000 2.3607
W 0.0000 0.0000 0.0000
N 2.6858 2.6858 2.3607
! ΔE_f (raw) (eV/atom): 1.521

[10]
! PBE-GGA PrErAsP, optimized geometry; values from VASP
&SYSTEM
  ibrav = 0, nat = 4, ntyp = 4
/
ATOMIC_SPECIES
Pr 140.91 Pr.upf
Er 167.26 Er.upf
As 74.92 As.upf
P 30.97 P.upf
CELL_PARAMETERS angstrom
2.0469 1.1818 7.0299
-2.0469 1.1818 7.0299
0.0000 -2.3635 7.0299
ATOMIC_POSITIONS angstrom
Pr 0.0000 0.0000 0.0000
Er 0.0000 0.0000 17.3895
As 0.0000 0.0000 5.0607
P 0.0000 0.0000 8.8065
! E_form (eV/atom): -1.40

[11]
! PBE-GGA SrCrNiS2, optimized geometry; values from VASP
&SYSTEM
  ibrav = 0, nat = 5, ntyp = 4
/
ATOMIC_SPECIES
Sr 87.62 Sr.upf
Cr 52.00 Cr.upf
Ni 58.69 Ni.upf
S 32.06 S.upf
CELL_PARAMETERS angstrom
4.7685 0.0000 0.0000
0.0000 4.7685 0.0000
0.0000 0.0000 4.4609
ATOMIC_POSITIONS angstrom
Sr 0.0000 0.0000 0.0000
Cr 2.3842 2.3842 0.0000
Ni 2.3842 2.3842 2.2304
S 0.0000 2.3842 2.2304
S 2.3842 0.0000 2.2304
! ΔE_f (raw) (eV/atom): -0.273

[12]
! PBE-GGA Nd2TmScS4, optimized geometry; values from VASP
&SYSTEM
  ibrav = 0, nat = 8, ntyp = 4
/
ATOMIC_SPECIES
Nd 144.24 Nd.upf
Tm 168.93 Tm.upf
Sc 44.96 Sc.upf
S 32.06 S.upf
CELL_PARAMETERS angstrom
6.7037 0.0000 0.0000
0.0000 3.8543 0.0000
-2.2228 0.0000 6.6067
ATOMIC_POSITIONS angstrom
Nd 0.0000 0.0000 0.0000
Nd 3.3519 1.9271 0.0000
Tm -1.1114 1.9271 3.3034
Sc 2.2404 0.0000 3.3034
S 0.0392 0.0000 4.7893
S 1.1557 1.9271 1.8395
S 3.3252 1.9271 4.7672
S 4.4416 0.0000 1.8174
! ΔE_f (raw) (eV/atom): -1.956

no.,uncorrected energy (eV/cell),magnetization (Bohr magnetons per cell)
1,-16.56,0.00
2,-19.11,3.02
3,-27.88,3.19
4,-80.22,4.82
5,-97.31,0.00
6,-14.01,0.00
7,-50.50,0.00
8,-54.22,0.00
9,-24.57,3.24
10,-24.99,0.00
11,-26.70,4.64
12,-52.50,0.00